Compound: TaFeGePd
Source: OQMD
Functional: GGA-PBE
Structure: relaxed

Unit cell a=6.1998 b=6.1998 c=6.1998 alpha=90.00 beta=90.00 gamma=90.00
Last column: nearest neighbours and their distance in Å.
Space group F-43m (No. 216)
Symmetry-distinct sites (fractional):
Ta: 0.0000 0.0000 0.0000  4 Pd 2.68, 4 Fe 2.68
Fe: 0.2500 0.2500 0.7500  4 Ge 2.68, 4 Ta 2.68
Ge: 0.0000 0.0000 0.5000  4 Fe 2.68, 4 Pd 2.68
Pd: 0.2500 0.2500 0.2500  4 Ge 2.68, 4 Ta 2.68

Summary:
* theoretical density: 11.591 g cm⁻³
* calculated total energy: -7.565 eV per atom
* volume: 238.3 Å³/cell
* total magnetization: 1.5 μB per formula unit

Compound: ScZnCoSi
Source: OQMD
Functional: GGA-PBE
Structure: relaxed

Unit cell a=6.0757 b=6.0757 c=6.0757 alpha=90.00 beta=90.00 gamma=90.00
Last column: nearest neighbours and their distance in Å.
Space group F-43m (No. 216)
Symmetry-distinct sites (fractional):
Sc: 0.0000 0.0000 0.0000  4 Si 2.63, 4 Zn 2.63
Zn: 0.2500 0.2500 0.2500  4 Co 2.63, 4 Sc 2.63
Co: 0.0000 0.0000 0.5000  4 Zn 2.63, 4 Si 2.63
Si: 0.2500 0.2500 0.7500  4 Co 2.63, 4 Sc 2.63

Summary:
* theoretical density: 5.845 g cm⁻³
* calculated total energy: -5.353 eV per atom
* volume: 224.3 Å³/cell
* total magnetization: 0.2 μB per formula unit

Compound: CsRbZnSn
Source: OQMD
Functional: GGA-PBE
Structure: relaxed

Unit cell a=7.1635 b=6.9741 c=7.2896 alpha=90.00 beta=109.76 gamma=90.00
Last column: nearest neighbours and their distance in Å.
Space group P2_1/m (No. 11)
Symmetry-distinct sites (fractional):
Cs: 0.0082 0.2500 0.1741  2 Zn 3.84, 1 Rb 3.94, 4 Sn 4.03-4.13, 2 Cs 4.29
Rb: 0.3288 0.7500 0.4955  2 Zn 3.88, 4 Sn 3.91-4.07, 1 Cs 3.94, 2 Rb 4.25
Zn: 0.5000 0.0000 0.0000  2 Sn 2.63
Sn: 0.2701 0.2500 0.7582  2 Zn 2.63

Summary:
* theoretical density: 3.900 g cm⁻³
* calculated total energy: -1.945 eV per atom
* volume: 342.7 Å³/cell

Compound: Hf2CoTe
Source: OQMD
Functional: GGA-PBE
Structure: relaxed

Unit cell a=6.7003 b=6.7003 c=6.7003 alpha=90.00 beta=90.00 gamma=90.00
Last column: nearest neighbours and their distance in Å.
Space group F-43m (No. 216)
Symmetry-distinct sites (fractional):
Hf: 0.0000 0.0000 0.0000  4 Hf 2.90, 4 Co 2.90
Hf: 0.2500 0.2500 0.2500  4 Hf 2.90, 4 Te 2.90
Co: 0.2500 0.2500 0.7500  4 Hf 2.90, 4 Te 2.90
Te: 0.0000 0.0000 0.5000  4 Co 2.90, 4 Hf 2.90

Summary:
* theoretical density: 12.002 g cm⁻³
* calculated total energy: -7.198 eV per atom
* volume: 300.8 Å³/cell
* total magnetization: 0.0 μB per formula unit